Rb2Sr2Br | PBE-GGA | optimized geometry

Energy above the lowest structure with this stoichiometry (eV/atom): 0.000
V (Å³/cell): 611
E_tot (eV per atom): -1.8247
Uncorrected formation energy (meV/atom): -430.4

```
data_Rb2Sr2Br
_chemical_formula_sum 'Rb4 Sr4 Br2'
_cell_length_a 8.678
_cell_length_b 8.678
_cell_length_c 8.111
_cell_angle_alpha 90.00
_cell_angle_beta 90.00
_cell_angle_gamma 90.00
_space_group_name_H-M_alt 'P 4/m b m'
_space_group_IT_number 127
_space_group_name_Hall '-P 4 2ab'
loop_
_atom_site_label
_atom_site_type_symbol
_atom_site_fract_x
_atom_site_fract_y
_atom_site_fract_z
Rb1 Rb 0.169 0.331 0.000
Sr1 Sr 0.170 0.670 0.500
Br1 Br 0.000 0.000 0.500
```